Entry 1:
BaTePb2 | the Alexandria database | PBE-GGA | relaxed; space-group type = Fm-3m, No. 225; density = 8.06 g/cm3; ΔE to the lowest computed polymorph = 0.370 eV per atom; formation energy from raw total energies = -0.225 eV per atom
1.0
-4.3006 0.3030 3.9225
-5.5349 -0.7107 -1.6830
-2.9100 -4.8185 1.5122
Pb Te Ba
2 1 1
direct
0.2500 0.2500 0.2500
0.7500 0.7500 0.7500
0.0000 0.0000 0.0000
0.5000 0.5000 0.5000



Entry 2:
Ba2TePb2 | the Alexandria database | PBE-GGA | relaxed; space-group type = P4/mbm, No. 127; density = 6.85 g/cm3; ΔE to the lowest computed polymorph = 0.000 eV per atom; formation energy from raw total energies = -0.655 eV per atom
1.0
-1.4980 1.6459 -8.5097
-4.5896 -7.4764 -0.6381
-4.2757 2.5189 1.2399
Pb Te Ba
4 2 4
direct
0.3738 0.8738 0.0000
0.8738 0.6262 0.0000
0.6262 0.1262 0.0000
0.1262 0.3738 0.0000
0.0000 0.0000 0.0000
0.5000 0.5000 0.0000
0.1765 0.6765 0.5000
0.6765 0.8235 0.5000
0.8235 0.3235 0.5000
0.3235 0.1765 0.5000



Entry 3:
BaTe2Pb | the Alexandria database | PBE-GGA | relaxed; space-group type = F-43m, No. 216; density = 7.14 g/cm3; formation energy from raw total energies = -0.447 eV per atom
1.0
5.8200 0.0000 0.0000
2.9100 5.0402 0.0000
2.9100 1.6801 4.7520
Ba Pb Te
1 1 2
direct
0.5000 0.5000 0.5000
0.7500 0.7500 0.7500
0.0000 0.0000 0.0000
0.2500 0.2500 0.2500



Entry 4:
Ba2TePb | the Alexandria database | PBE-GGA | relaxed; space-group type = I-42d, No. 122; density = 5.65 g/cm3; ΔE to the lowest computed polymorph = 0.246 eV per atom; formation energy from raw total energies = -0.772 eV per atom
1.0
-7.9169 -3.8212 3.2492
4.9855 -6.6620 4.3127
-1.2260 -2.9060 7.1117
Pb Te Ba
2 2 4
direct
0.0000 0.0000 0.0000
0.7500 0.2500 0.5000
0.5000 0.5000 0.0000
0.2500 0.7500 0.5000
0.6110 0.1250 0.2500
0.1390 0.6250 0.2500
0.3750 0.3890 0.7500
0.8750 0.8610 0.7500



Entry 5:
BaTePb2 | the Alexandria database | PBE-GGA | relaxed; space-group type = I-42d, No. 122; density = 7.17 g/cm3; ΔE to the lowest computed polymorph = 0.218 eV per atom; formation energy from raw total energies = -0.377 eV per atom
1.0
-2.4766 -9.2556 -1.6828
1.0565 -2.0027 9.4606
-3.9064 -4.8681 4.4070
Pb Te Ba
4 2 2
direct
0.5821 0.1250 0.2500
0.1679 0.6250 0.2500
0.3750 0.4179 0.7500
0.8750 0.8321 0.7500
0.5000 0.5000 0.0000
0.2500 0.7500 0.5000
0.0000 0.0000 0.0000
0.7500 0.2500 0.5000



Entry 6:
BaTe3Pb | the Alexandria database | PBE-GGA | relaxed; space-group type = Pm-3m, No. 221; density = 5.85 g/cm3; ΔE to the lowest computed polymorph = 0.000 eV per atom; formation energy from raw total energies = -0.458 eV per atom
1.0
5.9089 0.0000 0.0000
0.0000 5.9089 0.0000
0.0000 0.0000 5.9089
Pb Te Ba
1 3 1
direct
0.0000 0.0000 0.0000
0.0000 0.5000 0.0000
0.0000 0.0000 0.5000
0.5000 0.0000 0.0000
0.5000 0.5000 0.5000



Entry 7:
BaTePb2 | the Alexandria database | PBE-GGA | relaxed; space-group type = R-3m, No. 166; density = 7.30 g/cm3; ΔE to the lowest computed polymorph = 0.428 eV per atom; formation energy from raw total energies = -0.167 eV per atom
1.0
-6.7690 0.1496 -7.3271
-4.2113 -3.0996 -8.4962
-7.3376 -3.7533 -5.6214
Ba Pb Te
1 2 1
direct
0.7500 0.7500 0.7500
0.9859 0.9859 0.9859
0.5141 0.5141 0.5141
0.2500 0.2500 0.2500



Entry 8:
BaTe3Pb | the Alexandria database | PBE-GGA | relaxed; space-group type = Pm-3m, No. 221; density = 4.73 g/cm3; ΔE to the lowest computed polymorph = 0.662 eV per atom; formation energy from raw total energies = 0.204 eV per atom
1.0
-2.3922 3.3348 -4.8385
-4.2189 -4.6111 -1.0922
-4.0906 2.8056 3.9561
Pb Te Ba
1 3 1
direct
0.5000 0.5000 0.5000
0.0000 0.5000 0.0000
0.0000 0.0000 0.5000
0.5000 0.0000 0.0000
0.0000 0.0000 0.0000



Entry 9:
BaTePb | the Alexandria database | PBE-GGA | relaxed; space-group type = I4mm, No. 107; density = 6.82 g/cm3; ΔE to the lowest computed polymorph = 0.055 eV per atom; formation energy from raw total energies = -0.669 eV per atom
1.0
-2.6317 -6.0588 1.3930
1.2015 -5.6638 3.4708
-2.1021 0.2124 3.8345
Ba Pb Te
1 1 1
direct
0.0082 0.0082 0.9918
0.2931 0.2931 0.7069
0.6987 0.6987 0.3013



Entry 10:
Ba2TePb | the Alexandria database | PBE-GGA | relaxed; space-group type = Cmmm, No. 65; density = 6.45 g/cm3; ΔE to the lowest computed polymorph = 0.067 eV per atom; formation energy from raw total energies = -0.951 eV per atom
1.0
9.0585 -0.0077 -0.0192
-3.5518 5.0120 -0.0008
1.9549 1.3877 3.4499
Ba Pb Te
2 1 1
direct
0.0000 0.0000 0.0000
0.5000 0.0000 0.5000
0.0000 0.5000 0.5000
0.5000 0.5000 0.0000



Entry 11:
BaTe5Pb4 | the Alexandria database | PBE-GGA | relaxed; space-group type = Immm, No. 71; density = 7.17 g/cm3; formation energy from raw total energies = -0.664 eV per atom
1.0
4.6168 0.0000 -0.8907
-0.3441 6.4245 -1.7834
0.0200 0.0059 12.5141
Ba Te Pb
1 5 4
direct
0.0000 0.0000 0.0000
0.6081 0.1081 0.2163
0.8019 0.3019 0.6039
0.1981 0.6981 0.3961
0.0000 0.5000 0.0000
0.3919 0.8919 0.7837
0.3986 0.3986 0.7972
0.7970 0.7970 0.5940
0.2030 0.2030 0.4060
0.6014 0.6014 0.2028



Entry 12:
Ba2TePb | the Alexandria database | PBE-GGA | relaxed; space-group type = P2/m, No. 10; density = 6.36 g/cm3; ΔE to the lowest computed polymorph = 0.000 eV per atom; formation energy from raw total energies = -1.018 eV per atom
1.0
-0.6367 -3.6154 1.9392
3.5939 -1.4265 -1.4796
7.9591 1.8233 6.0126
Ba Pb Te
2 1 1
direct
0.0000 0.0217 0.9785
0.0000 0.4783 0.5215
0.5000 0.2500 0.2500
0.5000 0.7500 0.7500



Entry 13:
BaTePb | the Alexandria database | PBE-GGA | relaxed; space-group type = F-43m, No. 216; density = 5.97 g/cm3; ΔE to the lowest computed polymorph = 0.357 eV per atom; formation energy from raw total energies = -0.368 eV per atom
1.0
5.7069 0.0000 0.0000
2.8534 4.9423 0.0000
2.8534 1.6474 4.6597
Ba Pb Te
1 1 1
direct
0.7500 0.7500 0.7500
0.0000 0.0000 0.0000
0.5000 0.5000 0.5000



Entry 14:
Ba2TePb | the Alexandria database | PBE-GGA | relaxed; space-group type = Cm, No. 8; density = 6.07 g/cm3; ΔE to the lowest computed polymorph = 0.093 eV per atom; formation energy from raw total energies = -0.925 eV per atom
1.0
-5.1546 4.6006 -1.2267
-6.5182 0.6691 -2.5111
-2.7139 -0.7080 5.0487
Ba Pb Te
2 1 1
direct
0.9992 0.9992 0.1424
0.7506 0.7506 0.6049
0.4807 0.4807 0.6590
0.2694 0.2694 0.0937



Entry 15:
BaTePb | the Alexandria database | PBE-GGA | relaxed; space-group type = P3m1, No. 156; density = 5.91 g/cm3; ΔE to the lowest computed polymorph = 0.272 eV per atom; formation energy from raw total energies = -0.452 eV per atom
1.0
4.5811 0.0000 0.0000
-2.2906 3.9674 0.0000
0.0000 0.0000 7.2932
Ba Pb Te
1 1 1
direct
0.0000 0.0000 0.9597
0.6667 0.3333 0.3855
0.3333 0.6667 0.6548



Entry 16:
BaTe2Pb | the Alexandria database | PBE-GGA | relaxed; space-group type = R-3m, No. 166; density = 5.13 g/cm3; formation energy from raw total energies = -0.367 eV per atom
1.0
2.7377 0.0000 9.9726
-1.3688 2.3709 9.9726
-1.3688 -2.3709 9.9726
Pb Te Ba
1 2 1
direct
0.5000 0.5000 0.5000
0.8922 0.8922 0.8922
0.1078 0.1078 0.1078
0.0000 0.0000 0.0000



Entry 17:
BaTe2Pb | the Alexandria database | PBE-GGA | relaxed; space-group type = Cmmm, No. 65; density = 7.13 g/cm3; formation energy from raw total energies = -0.914 eV per atom
1.0
9.1717 0.0047 0.0104
-3.6225 4.4837 -0.0024
1.9267 1.5562 3.3999
Ba Pb Te
1 1 2
direct
0.0000 0.5000 0.5000
0.5000 0.5000 0.0000
0.0000 0.0000 0.0000
0.5000 0.0000 0.5000



Entry 18:
BaTePb | the Alexandria database | PBE-GGA | relaxed; space-group type = F-43m, No. 216; density = 6.23 g/cm3; ΔE to the lowest computed polymorph = 0.104 eV per atom; formation energy from raw total energies = -0.621 eV per atom
1.0
-2.1741 -5.1641 0.4776
3.2626 -4.2860 1.6151
-0.6923 -2.3001 5.0846
Ba Pb Te
1 1 1
direct
0.0000 0.0000 0.0000
0.5000 0.5000 0.5000
0.7500 0.7500 0.7500



Entry 19:
BaTePb2 | the Alexandria database | PBE-GGA | relaxed; space-group type = Pm, No. 6; density = 7.31 g/cm3; ΔE to the lowest computed polymorph = 0.000 eV per atom; formation energy from raw total energies = -0.595 eV per atom
1.0
-0.5376 -4.2287 2.1062
2.1260 -2.0936 -3.6607
7.3481 -0.4780 0.9161
Ba Pb Te
1 2 1
direct
0.5000 0.7595 0.6629
0.0000 0.0068 0.0572
0.5000 0.4330 0.1865
0.0000 0.3008 0.5934



Entry 20:
BaTePb2 | the Alexandria database | PBE-GGA | relaxed; space-group type = C2/m, No. 12; density = 7.55 g/cm3; ΔE to the lowest computed polymorph = 0.014 eV per atom; formation energy from raw total energies = -0.581 eV per atom
1.0
-6.2808 3.1199 -1.5273
0.6222 -6.7649 2.3160
-3.1002 -0.7301 3.6904
Ba Pb Te
1 2 1
direct
0.0000 0.5000 0.5000
0.0000 0.0000 0.0000
0.5000 0.5000 0.0000
0.5000 0.0000 0.5000



Entry 21:
BaTePb | the Alexandria database | PBE-GGA | relaxed; space-group type = P3m1, No. 156; density = 6.80 g/cm3; ΔE to the lowest computed polymorph = 0.000 eV per atom; formation energy from raw total energies = -0.724 eV per atom
1.0
-4.4564 2.7366 -1.4132
2.9335 -2.5376 -3.7816
-2.4880 -3.7490 0.5858
Ba Pb Te
1 1 1
direct
0.0000 0.0000 0.9950
0.6667 0.3333 0.4547
0.3333 0.6667 0.5503



Entry 22:
Ba2Te2Pb | the Alexandria database | PBE-GGA | relaxed; space-group type = P4/mbm, No. 127; density = 6.24 g/cm3; formation energy from raw total energies = -1.175 eV per atom
1.0
9.2252 0.0000 0.0000
0.0000 9.2252 0.0000
0.0000 0.0000 4.6125
Pb Te Ba
2 4 4
direct
0.0000 0.0000 0.0000
0.5000 0.5000 0.0000
0.3465 0.8465 0.0000
0.8465 0.6535 0.0000
0.6535 0.1535 0.0000
0.1535 0.3465 0.0000
0.1541 0.6541 0.5000
0.6541 0.8459 0.5000
0.8459 0.3459 0.5000
0.3459 0.1541 0.5000



Entry 23:
BaTePb2 | the Alexandria database | PBE-GGA | relaxed; space-group type = Pmmm, No. 47; density = 7.79 g/cm3; ΔE to the lowest computed polymorph = 0.255 eV per atom; formation energy from raw total energies = -0.340 eV per atom
1.0
4.4995 0.0000 0.0000
0.0000 4.5108 0.0000
0.0000 0.0000 7.1360
Ba Pb Te
1 2 1
direct
0.5000 0.5000 0.7500
0.0000 0.0000 0.0413
0.0000 0.0000 0.4587
0.5000 0.5000 0.2500



Entry 24:
BaTePb2 | the Alexandria database | PBE-GGA | relaxed; space-group type = I-4m2, No. 119; density = 8.20 g/cm3; ΔE to the lowest computed polymorph = 0.077 eV per atom; formation energy from raw total energies = -0.518 eV per atom
1.0
6.1349 -0.0130 0.0000
1.5128 5.9454 0.0000
-3.8238 -2.9662 3.7705
Ba Pb Te
1 2 1
direct
0.7500 0.2500 0.5000
0.0000 0.0000 0.0000
0.2500 0.7500 0.5000
0.5000 0.5000 0.0000



Entry 25:
Ba2TePb | the Alexandria database | PBE-GGA | relaxed; space-group type = R-3m, No. 166; density = 5.53 g/cm3; ΔE to the lowest computed polymorph = 0.023 eV per atom; formation energy from raw total energies = -0.995 eV per atom
1.0
-3.1382 2.4059 -2.5644
-4.5948 -0.9798 0.3753
-3.3716 6.8784 6.2510
Ba Pb Te
2 1 1
direct
0.9921 0.9921 0.0232
0.5079 0.5079 0.4768
0.7500 0.7500 0.7500
0.2500 0.2500 0.2500



Entry 26:
Ba5Te6Pb | the Alexandria database | PBE-GGA | relaxed; space-group type = C2/m, No. 12; density = 5.34 g/cm3; formation energy from raw total energies = -1.545 eV per atom
1.0
8.5778 0.2363 0.0000
2.6415 8.1698 0.0000
1.3208 4.0849 7.4330
Ba Te Pb
5 6 1
direct
0.5000 0.1674 0.6653
0.0000 0.3336 0.3329
0.5000 0.5000 0.0000
0.0000 0.6664 0.6671
0.5000 0.8326 0.3347
0.7559 0.0814 0.3240
0.2441 0.5946 0.3240
0.2447 0.2420 0.0000
0.7553 0.7580 0.0000
0.7559 0.4054 0.6760
0.2441 0.9186 0.6760
0.0000 0.0000 0.0000



Entry 27:
BaTe2Pb | the Alexandria database | PBE-GGA | relaxed; space-group type = P4/mmm, No. 123; density = 7.05 g/cm3; formation energy from raw total energies = -0.869 eV per atom
1.0
-2.7189 -3.0501 -0.8118
1.9404 -2.4643 2.7416
-4.8579 2.7560 5.9154
Ba Pb Te
1 1 2
direct
0.5000 0.5000 0.2500
0.5000 0.5000 0.7500
0.0000 0.0000 0.9875
0.0000 0.0000 0.5125



Entry 28:
BaTe2Pb | the Alexandria database | PBE-GGA | relaxed; space-group type = R-3m, No. 166; density = 6.25 g/cm3; formation energy from raw total energies = -1.071 eV per atom
1.0
4.8259 -0.0216 0.0153
2.4303 4.1694 0.0153
2.3961 1.3696 7.9071
Pb Te Ba
1 2 1
direct
0.7500 0.7500 0.7500
0.0060 0.0060 0.9826
0.4940 0.4940 0.5174
0.2500 0.2500 0.2500



Entry 29:
BaTe2Pb | the Alexandria database | PBE-GGA | relaxed; space-group type = I-42d, No. 122; density = 4.59 g/cm3; formation energy from raw total energies = -0.871 eV per atom
1.0
-5.3937 -0.0720 -5.2200
-3.1393 -5.9523 3.3258
-8.5423 1.6754 3.4062
Pb Te Ba
2 4 2
direct
0.0000 0.0000 0.0000
0.7500 0.2500 0.5000
0.6523 0.1250 0.2500
0.0977 0.6250 0.2500
0.3750 0.3477 0.7500
0.8750 0.9023 0.7500
0.5000 0.5000 0.0000
0.2500 0.7500 0.5000